(1)
Compound: Fe2RuAu
Source: the Alexandria database
Functional: PBE-GGA
Structure: optimized geometry

Values from the calculation:
* symmetry: No. 8
* V: 55.92 Å³/cell
* ΔE_f: 1.00 eV/f.u.
* energy relative to the lowest polymorph listed for this composition: 58.3 meV/atom
* DFT total energy: -28.47 eV for the cell shown

Lattice parameters (Å, degrees): 4.705 4.705 4.658 76.51 76.51 34.00
Last column: magnetic moment on the atom in μB.
Fractional positions:
1 Au 0.255 0.255 0.229  0.06
2 Fe 0.014 0.014 0.997  2.63
3 Fe 0.742 0.742 0.735  2.54
4 Ru 0.489 0.489 0.538  -0.12


(2)
Compound: Fe2RuAu
Source: the Alexandria database
Functional: PBE-GGA
Structure: optimized geometry

Values from the calculation:
* symmetry: No. 166
* V: 56.82 Å³/cell
* ΔE_f: 1.06 eV/f.u.
* energy relative to the lowest polymorph listed for this composition: 71.3 meV/atom
* DFT total energy: -28.42 eV for the cell shown

Lattice parameters (Å, degrees): 8.959 8.959 8.959 17.51 17.51 17.51
Last column: magnetic moment on the atom in μB.
Fractional positions:
1 Au 0.750 0.750 0.750  0.01
2 Fe 0.996 0.996 0.996  2.69
3 Fe 0.504 0.504 0.504  2.69
4 Ru 0.250 0.250 0.250  -0.01


(3)
Compound: FeRuAu2
Source: the Alexandria database
Functional: PBE-GGA
Structure: optimized geometry

Values from the calculation:
* symmetry: No. 122
* V: 139.35 Å³/cell
* ΔE_f: 2.75 eV/f.u.
* energy relative to the lowest polymorph listed for this composition: 500.0 meV/atom
* DFT total energy: -43.08 eV for the cell shown

Lattice parameters (Å, degrees): 7.246 7.246 5.770 51.11 51.11 90.00
Last column: magnetic moment on the atom in μB.
Fractional positions:
1 Ru 0.000 0.000 0.000  1.52
2 Ru 0.750 0.250 0.500  1.52
3 Au 0.610 0.125 0.250  0.09
4 Au 0.140 0.625 0.250  0.09
5 Au 0.375 0.390 0.750  0.09
6 Au 0.875 0.860 0.750  0.09
7 Fe 0.500 0.500 0.000  3.15
8 Fe 0.250 0.750 0.500  3.15


(4)
Compound: FeRuAu2
Source: the Alexandria database
Functional: PBE-GGA
Structure: optimized geometry

Values from the calculation:
* symmetry: No. 119
* V: 62.78 Å³/cell
* ΔE_f: 1.20 eV/f.u.
* energy relative to the lowest polymorph listed for this composition: 111.0 meV/atom
* DFT total energy: -23.10 eV for the cell shown

Lattice parameters (Å, degrees): 4.811 4.811 4.811 130.58 130.58 72.47
Last column: magnetic moment on the atom in μB.
Fractional positions:
1 Au 0.000 0.000 0.000  0.05
2 Au 0.250 0.750 0.500  0.07
3 Fe 0.500 0.500 0.000  3.05
4 Ru 0.750 0.250 0.500  0.83


(5)
Compound: Fe2RuAu
Source: the Alexandria database
Functional: PBE-GGA
Structure: optimized geometry

Values from the calculation:
* symmetry: No. 123
* V: 56.80 Å³/cell
* ΔE_f: 0.95 eV/f.u.
* energy relative to the lowest polymorph listed for this composition: 44.1 meV/atom
* DFT total energy: -28.53 eV for the cell shown

Lattice parameters (Å, degrees): 3.577 3.985 3.985 90.00 90.00 90.00
Last column: magnetic moment on the atom in μB.
Fractional positions:
1 Au 0.500 0.000 0.500  0.11
2 Fe 0.000 0.000 0.000  2.90
3 Fe 0.000 0.500 0.500  2.90
4 Ru 0.500 0.500 0.000  0.93


(6)
Compound: Fe2RuAu2
Source: the Alexandria database
Functional: PBE-GGA
Structure: optimized geometry

Values from the calculation:
* symmetry: No. 127
* V: 147.74 Å³/cell
* ΔE_f: 3.01 eV/f.u.
* DFT total energy: -59.48 eV for the cell shown

Lattice parameters (Å, degrees): 6.020 6.020 4.077 90.00 90.00 90.00
Fractional positions:
1 Ru 0.000 0.000 0.000
2 Ru 0.500 0.500 0.000
3 Au 0.179 0.679 0.500
4 Au 0.679 0.821 0.500
5 Au 0.821 0.321 0.500
6 Au 0.321 0.179 0.500
7 Fe 0.378 0.878 0.000
8 Fe 0.878 0.622 0.000
9 Fe 0.622 0.122 0.000
10 Fe 0.122 0.378 0.000


(7)
Compound: FeRuAu2
Source: the Alexandria database
Functional: PBE-GGA
Structure: optimized geometry

Values from the calculation:
* symmetry: No. 123
* V: 63.54 Å³/cell
* ΔE_f: 1.67 eV/f.u.
* energy relative to the lowest polymorph listed for this composition: 230.5 meV/atom
* DFT total energy: -22.62 eV for the cell shown

Lattice parameters (Å, degrees): 4.489 4.489 3.153 90.00 90.00 90.00
Last column: magnetic moment on the atom in μB.
Fractional positions:
1 Au 0.000 0.000 0.000  0.05
2 Au 0.500 0.500 0.000  0.05
3 Fe 0.500 0.000 0.500  3.13
4 Ru 0.000 0.500 0.500  0.49


(8)
Compound: FeRuAu2
Source: the Alexandria database
Functional: PBE-GGA
Structure: optimized geometry

Values from the calculation:
* symmetry: No. 216
* V: 63.71 Å³/cell
* ΔE_f: 1.49 eV/f.u.
* energy relative to the lowest polymorph listed for this composition: 184.2 meV/atom
* DFT total energy: -22.81 eV for the cell shown

Lattice parameters (Å, degrees): 4.483 4.483 4.483 60.00 60.00 60.00
Last column: magnetic moment on the atom in μB.
Fractional positions:
1 Au 0.000 0.000 0.000  0.05
2 Au 0.250 0.250 0.250  0.07
3 Fe 0.500 0.500 0.500  3.09
4 Ru 0.750 0.750 0.750  1.15


no.,Fermi-level density of states (states/eV/f.u.),total magnetic moment (μB per cell)
1,4.30,5.1
2,5.51,5.3
3,3.86,9.9
4,2.98,4.0
5,5.19,6.9
6,5.71,0.0
7,4.92,3.7
8,2.70,4.4